P:
# LiB4Pd

LiB4Pd after structural relaxation (PBE-GGA, OQMD).

Lattice parameters (Å, degrees): 3.003 3.003 6.989 90.00 90.00 120.00
Positions (direct):
B  0.667  0.333  0.249
B  0.333  0.667  0.249
B  0.667  0.333  0.751
B  0.333  0.667  0.751
Li  0.000  0.000  0.000
Pd  0.000  0.000  0.500

---

Q:
# LiB4Pd

LiB4Pd after structural relaxation (PBE-GGA, OQMD).

Lattice parameters (Å, degrees): 4.565 4.565 4.565 141.77 110.62 82.08
Positions (direct):
B  0.597  0.260  0.338
B  0.078  0.740  0.338
B  0.922  0.260  0.662
B  0.403  0.740  0.662
Li  0.000  0.000  0.000
Pd  0.500  0.500  0.000

---

Which structure loses on stability? P does.

---

P:
# LiSiBPd

LiSiBPd after structural relaxation (PBE-GGA, OQMD).

Lattice parameters (Å, degrees): 4.031 4.031 4.031 60.00 60.00 60.00
Positions (direct):
B  0.000  0.000  0.000
Li  0.750  0.750  0.750
Pd  0.500  0.500  0.500
Si  0.250  0.250  0.250

---

Q:
# LiSiBPd

LiSiBPd after structural relaxation (PBE-GGA, OQMD).

Lattice parameters (Å, degrees): 4.037 4.037 4.037 60.00 60.00 60.00
Positions (direct):
B  0.500  0.500  0.500
Li  0.750  0.750  0.750
Pd  0.250  0.250  0.250
Si  0.000  0.000  0.000

---

Which structure loses on stability? P does.